Entry 1:
Entry from Alexandria: a geometry-optimized RbY2AsO structure (PBE).

As for the formation energy (no corrections): 0.007 eV/atom. The total magnetization comes out at 0.01 Bohr magnetons per cell.

The structure belongs to space group P4/mmm (No. 123); the cell edges are 5.355, 5.355 and 6.469 Å and the angles 90.00°, 90.00° and 90.00°. The distinct sites, in fractional coordinates, are Rb at (0.000, 0.000, 0.000), Y at (0.000, 0.500, 0.500), As at (0.000, 0.000, 0.500) and O at (0.500, 0.500, 0.000).

***

Entry 2:
Entry from Alexandria: a geometry-optimized K2CuHS2 structure (PBE).

The raw total energy is -3.291 eV/atom. The total magnetization comes out at 0.00 Bohr magnetons per cell.

The structure belongs to space group Ibam (No. 72); the cell edges are 6.206, 13.347 and 5.869 Å and the angles 90.00°, 90.00° and 90.00°. The distinct sites, in fractional coordinates, are K at (0.212, 0.159, 0.000), Cu at (0.000, 0.500, 0.250), H at (0.000, 0.000, 0.250) and S at (0.247, 0.416, 0.000).

***

Entry 3:
Entry from Alexandria: a geometry-optimized TbTe2Rh structure (PBE).

As for the formation energy (no corrections): -0.309 eV/atom. The total magnetization comes out at 0.00 Bohr magnetons per cell.

The structure belongs to space group R-3m (No. 166, hexagonal axes); the cell edges are 3.9386, 3.9386 and 26.7548 Å and the angles 90.00°, 90.00° and 120.00°. The distinct sites, in fractional coordinates, are Tb at (0.0000, 0.0000, 0.0000), Te at (0.0000, 0.0000, 0.1142) and Rh at (0.0000, 0.0000, 0.5000).